(1)
AsH2Ir | GGA-PBE | relaxed

Cell and atoms, written as CIF:
```
data_AsH2Ir
_space_group_name_H-M_alt 'I m m 2'
_space_group_IT_number 44
_space_group_name_Hall 'I 2 -2'
_cell_length_a 3.002
_cell_length_b 4.833
_cell_length_c 6.130
_cell_angle_alpha 90.00
_cell_angle_beta 90.00
_cell_angle_gamma 90.00
loop_
_atom_site_label
_atom_site_type_symbol
_atom_site_fract_x
_atom_site_fract_y
_atom_site_fract_z
As1 As 0.000 0.000 0.000
H1 H 0.000 0.000 0.488
H2 H 0.000 0.500 0.109
Ir1 Ir 0.000 0.500 0.848
```

Results
Final energy ... -20.106 eV/f.u.
Excess energy over the best structure of this formula in the dataset ... 0 kJ/mol of formula units


(2)
LiMgBi2 | GGA-PBE | relaxed

Cell and atoms, written as CIF:
```
data_LiMgBi2
_space_group_name_H-M_alt 'P 4/m m m'
_space_group_IT_number 123
_space_group_name_Hall '-P 4 2'
_cell_length_a 3.906
_cell_length_b 3.906
_cell_length_c 6.740
_cell_angle_alpha 90.00
_cell_angle_beta 90.00
_cell_angle_gamma 90.00
loop_
_atom_site_label
_atom_site_type_symbol
_atom_site_fract_x
_atom_site_fract_y
_atom_site_fract_z
Li1 Li 0.000 0.000 0.000
Mg1 Mg 0.000 0.000 0.500
Bi1 Bi 0.500 0.500 0.249
```

Results
Final energy ... -12.189 eV/f.u.
Energy of formation ... -229.8 meV per atom


(3)
AgBPt2 | GGA-PBE | relaxed

Cell and atoms, written as CIF:
```
data_AgBPt2
_space_group_name_H-M_alt 'P -3 m 1'
_space_group_IT_number 164
_space_group_name_Hall '-P 3 2"'
_cell_length_a 3.2276
_cell_length_b 3.2276
_cell_length_c 6.5733
_cell_angle_alpha 90.00
_cell_angle_beta 90.00
_cell_angle_gamma 120.00
loop_
_atom_site_label
_atom_site_type_symbol
_atom_site_fract_x
_atom_site_fract_y
_atom_site_fract_z
Ag1 Ag 0.0000 0.0000 0.0000
B1 B 0.0000 0.0000 0.5000
Pt1 Pt 0.3333 0.6667 0.6686
```

Results
Final energy ... -22.053 eV/f.u.
Energy of formation ... -110.7 meV per atom


(4)
BaScRe | GGA-PBE | relaxed

Cell and atoms, written as CIF:
```
data_BaScRe
_space_group_name_H-M_alt 'P 3 m 1'
_space_group_IT_number 156
_space_group_name_Hall 'P 3 -2"'
_cell_length_a 4.9399
_cell_length_b 4.9399
_cell_length_c 3.4308
_cell_angle_alpha 90.00
_cell_angle_beta 90.00
_cell_angle_gamma 120.00
loop_
_atom_site_label
_atom_site_type_symbol
_atom_site_fract_x
_atom_site_fract_y
_atom_site_fract_z
Ba1 Ba 0.0000 0.0000 0.0000
Sc1 Sc 0.3333 0.6667 0.5772
Re1 Re 0.6667 0.3333 0.3804
```

Results
Final energy ... -17.826 eV/f.u.
Excess energy over the best structure of this formula in the dataset ... 100 kJ/mol of formula units
Energy of formation ... 958.9 meV per atom


(5)
LaDyGaCo | GGA-PBE | relaxed

Cell and atoms, written as CIF:
```
data_LaDyGaCo
_space_group_name_H-M_alt 'F -4 3 m'
_space_group_IT_number 216
_space_group_name_Hall 'F -4 2 3'
_cell_length_a 7.155
_cell_length_b 7.155
_cell_length_c 7.155
_cell_angle_alpha 90.00
_cell_angle_beta 90.00
_cell_angle_gamma 90.00
loop_
_atom_site_label
_atom_site_type_symbol
_atom_site_fract_x
_atom_site_fract_y
_atom_site_fract_z
La1 La 0.000 0.000 0.000
Dy1 Dy 0.000 0.000 0.500
Ga1 Ga 0.250 0.250 0.750
Co1 Co 0.250 0.250 0.250
```

Results
Final energy ... -20.628 eV/f.u.
Energy of formation ... -241.5 meV per atom


(6)
PmMg4Hg4 | GGA-PBE | relaxed

Cell and atoms, written as CIF:
```
data_PmMg4Hg4
_space_group_name_H-M_alt 'P 42/n m c'
_space_group_IT_number 137
_cell_length_a 6.750
_cell_length_b 6.750
_cell_length_c 9.558
_cell_angle_alpha 90.00
_cell_angle_beta 90.00
_cell_angle_gamma 90.00
loop_
_space_group_symop_operation_xyz
'x,y,z'
'-x,-y,-z'
'-y+1/2,x,z+1/2'
'y+1/2,-x,-z+1/2'
'-x+1/2,-y+1/2,z'
'x+1/2,y+1/2,-z'
'y,-x+1/2,z+1/2'
'-y,x+1/2,-z+1/2'
'x+1/2,-y,-z'
'-x+1/2,y,z'
'-y,-x,-z+1/2'
'y,x,z+1/2'
'-x,y+1/2,-z'
'x,-y+1/2,z'
'y+1/2,x+1/2,-z+1/2'
'-y+1/2,-x+1/2,z+1/2'
loop_
_atom_site_label
_atom_site_type_symbol
_atom_site_fract_x
_atom_site_fract_y
_atom_site_fract_z
Pm1 Pm 0.250 0.750 0.250
Mg1 Mg 0.026 0.250 0.164
Hg1 Hg 0.019 0.250 0.465
```

Results
Final energy ... -14.241 eV/f.u.
Energy of formation ... -211.6 meV per atom


(7)
AlCoIr3 | GGA-PBE | relaxed

Cell and atoms, written as CIF:
```
data_AlCoIr3
_space_group_name_H-M_alt 'P m -3 m'
_space_group_IT_number 221
_space_group_name_Hall '-P 4 2 3'
_cell_length_a 4.447
_cell_length_b 4.447
_cell_length_c 4.447
_cell_angle_alpha 90.00
_cell_angle_beta 90.00
_cell_angle_gamma 90.00
loop_
_atom_site_label
_atom_site_type_symbol
_atom_site_fract_x
_atom_site_fract_y
_atom_site_fract_z
Al1 Al 0.000 0.000 0.000
Co1 Co 0.500 0.500 0.500
Ir1 Ir 0.000 0.500 0.500
```

Results
Final energy ... -31.539 eV/f.u.
Excess energy over the best structure of this formula in the dataset ... 0 kJ/mol of formula units
Energy of formation ... 1178.5 meV per atom


(8)
AcZn2Si2 | GGA-PBE | relaxed

Cell and atoms, written as CIF:
```
data_AcZn2Si2
_space_group_name_H-M_alt 'P 4/n m m'
_space_group_IT_number 129
_cell_length_a 4.485
_cell_length_b 4.485
_cell_length_c 9.990
_cell_angle_alpha 90.00
_cell_angle_beta 90.00
_cell_angle_gamma 90.00
loop_
_space_group_symop_operation_xyz
'x,y,z'
'-x,-y,-z'
'-y+1/2,x,z'
'y+1/2,-x,-z'
'-x+1/2,-y+1/2,z'
'x+1/2,y+1/2,-z'
'y,-x+1/2,z'
'-y,x+1/2,-z'
'x+1/2,-y,-z'
'-x+1/2,y,z'
'-y,-x,-z'
'y,x,z'
'-x,y+1/2,-z'
'x,-y+1/2,z'
'y+1/2,x+1/2,-z'
'-y+1/2,-x+1/2,z'
loop_
_atom_site_label
_atom_site_type_symbol
_atom_site_fract_x
_atom_site_fract_y
_atom_site_fract_z
Ac1 Ac 0.250 0.250 0.247
Zn1 Zn 0.250 0.250 0.878
Zn2 Zn 0.250 0.750 0.500
Si1 Si 0.250 0.250 0.630
Si2 Si 0.250 0.750 0.000
```

Results
Final energy ... -19.318 eV/f.u.
Excess energy over the best structure of this formula in the dataset ... 3 kJ/mol of formula units


(9)
Cu7SiAu4 | GGA-PBE | relaxed

Cell and atoms, written as CIF:
```
data_Cu7SiAu4
_space_group_name_H-M_alt 'P -1'
_space_group_IT_number 2
_space_group_name_Hall '-P 1'
_cell_length_a 4.245
_cell_length_b 4.672
_cell_length_c 9.279
_cell_angle_alpha 77.42
_cell_angle_beta 77.34
_cell_angle_gamma 89.26
loop_
_atom_site_label
_atom_site_type_symbol
_atom_site_fract_x
_atom_site_fract_y
_atom_site_fract_z
Cu1 Cu 0.000 0.000 0.000
Cu2 Cu 0.221 0.907 0.565
Cu3 Cu 0.284 0.463 0.432
Cu4 Cu 0.463 0.699 0.072
Si1 Si 0.000 0.500 0.000
Au1 Au 0.138 0.355 0.731
Au2 Au 0.368 0.108 0.241
```

Results
Final energy ... -47.034 eV/f.u.


(10)
IrAuSe2 | GGA-PBE | relaxed

Cell and atoms, written as CIF:
```
data_IrAuSe2
_space_group_name_H-M_alt 'C 1 2/m 1'
_space_group_IT_number 12
_space_group_name_Hall '-C 2y'
_cell_length_a 6.956
_cell_length_b 4.106
_cell_length_c 5.750
_cell_angle_alpha 90.00
_cell_angle_beta 98.05
_cell_angle_gamma 90.00
loop_
_atom_site_label
_atom_site_type_symbol
_atom_site_fract_x
_atom_site_fract_y
_atom_site_fract_z
Ir1 Ir 0.000 0.000 0.000
Au1 Au 0.000 0.000 0.500
Se1 Se 0.185 0.500 0.188
```

Results
Final energy ... -19.097 eV/f.u.


(11)
LaIr2 | GGA-PBE | relaxed

Cell and atoms, written as CIF:
```
data_LaIr2
_space_group_name_H-M_alt 'I m m m'
_space_group_IT_number 71
_space_group_name_Hall '-I 2 2'
_cell_length_a 2.939
_cell_length_b 4.152
_cell_length_c 10.093
_cell_angle_alpha 90.00
_cell_angle_beta 90.00
_cell_angle_gamma 90.00
loop_
_atom_site_label
_atom_site_type_symbol
_atom_site_fract_x
_atom_site_fract_y
_atom_site_fract_z
La1 La 0.000 0.000 0.000
Ir1 Ir 0.000 0.000 0.286
```

Results
Final energy ... -23.252 eV/f.u.
Energy of formation ... -200.7 meV per atom


(12)
Hf3TaCl | GGA-PBE | relaxed

Cell and atoms, written as CIF:
```
data_Hf3TaCl
_space_group_name_H-M_alt 'P m -3 m'
_space_group_IT_number 221
_space_group_name_Hall '-P 4 2 3'
_cell_length_a 4.703
_cell_length_b 4.703
_cell_length_c 4.703
_cell_angle_alpha 90.00
_cell_angle_beta 90.00
_cell_angle_gamma 90.00
loop_
_atom_site_label
_atom_site_type_symbol
_atom_site_fract_x
_atom_site_fract_y
_atom_site_fract_z
Hf1 Hf 0.000 0.000 0.500
Ta1 Ta 0.500 0.500 0.500
Cl1 Cl 0.000 0.000 0.000
```

Results
Final energy ... -42.289 eV/f.u.
Excess energy over the best structure of this formula in the dataset ... 0 kJ/mol of formula units


(13)
PmGe2Rh | GGA-PBE | relaxed

Cell and atoms, written as CIF:
```
data_PmGe2Rh
_space_group_name_H-M_alt 'P 4/m m m'
_space_group_IT_number 123
_space_group_name_Hall '-P 4 2'
_cell_length_a 4.197
_cell_length_b 4.197
_cell_length_c 4.369
_cell_angle_alpha 90.00
_cell_angle_beta 90.00
_cell_angle_gamma 90.00
loop_
_atom_site_label
_atom_site_type_symbol
_atom_site_fract_x
_atom_site_fract_y
_atom_site_fract_z
Pm1 Pm 0.000 0.000 0.000
Ge1 Ge 0.000 0.500 0.500
Rh1 Rh 0.500 0.500 0.000
```

Results
Final energy ... -23.235 eV/f.u.
Excess energy over the best structure of this formula in the dataset ... 144 kJ/mol of formula units
Energy of formation ... -474.7 meV per atom